No. 1
! Cs2TcS4 (PBE, relaxed); values from VASP
&SYSTEM
  ibrav = 0, nat = 7, ntyp = 3
/
ATOMIC_SPECIES
Cs 132.91 Cs.upf
S 32.06 S.upf
Tc 98.00 Tc.upf
CELL_PARAMETERS angstrom
-1.8105 -4.1230 1.6830
1.6546 -2.3095 -3.8779
7.4253 -4.8155 3.0565
ATOMIC_POSITIONS crystal
Cs 0.3496 0.3496 0.3008
Cs 0.6504 0.6504 0.6992
S 0.1360 0.1360 0.7280
S 0.8640 0.8640 0.2720
S 0.0000 0.5000 0.0000
S 0.5000 0.0000 0.0000
Tc 0.0000 0.0000 0.0000
! E_tot	-4.528	eV/atom
! E_form (uncorrected)	-0.445	eV/atom
! crystal system	tetragonal
! space-group type	I4/mmm, No. 139



No. 2
! CsTc3S (PBE, relaxed); values from VASP
&SYSTEM
  ibrav = 0, nat = 5, ntyp = 3
/
ATOMIC_SPECIES
Cs 132.91 Cs.upf
S 32.06 S.upf
Tc 98.00 Tc.upf
CELL_PARAMETERS angstrom
4.6163 0.0000 0.0000
0.0000 4.6163 0.0000
0.0000 0.0000 4.6163
ATOMIC_POSITIONS crystal
Cs 0.5000 0.5000 0.5000
S 0.0000 0.0000 0.0000
Tc 0.0000 0.5000 0.0000
Tc 0.0000 0.0000 0.5000
Tc 0.5000 0.0000 0.0000
! E_tot	-5.994	eV/atom
! E_form (uncorrected)	1.221	eV/atom
! energy above the lowest structure with this stoichiometry	0.000	eV per atom
! crystal system	cubic
! space-group type	Pm-3m, No. 221



No. 3
! Cs3TcS (PBE, relaxed); values from VASP
&SYSTEM
  ibrav = 0, nat = 5, ntyp = 3
/
ATOMIC_SPECIES
Cs 132.91 Cs.upf
S 32.06 S.upf
Tc 98.00 Tc.upf
CELL_PARAMETERS angstrom
6.7525 0.0000 0.0000
0.0000 6.7525 0.0000
0.0000 0.0000 6.7525
ATOMIC_POSITIONS crystal
Cs 0.0000 0.5000 0.0000
Cs 0.0000 0.0000 0.5000
Cs 0.5000 0.0000 0.0000
S 0.0000 0.0000 0.0000
Tc 0.5000 0.5000 0.5000
! E_tot	-2.922	eV/atom
! E_form (uncorrected)	0.489	eV/atom
! energy above the lowest structure with this stoichiometry	0.000	eV per atom
! crystal system	cubic
! space-group type	Pm-3m, No. 221



No. 4
! CsTcS3 (PBE, relaxed); values from VASP
&SYSTEM
  ibrav = 0, nat = 20, ntyp = 3
/
ATOMIC_SPECIES
Cs 132.91 Cs.upf
Tc 98.00 Tc.upf
S 32.06 S.upf
CELL_PARAMETERS angstrom
6.1075 0.0000 0.0000
0.0000 7.7459 -2.0303
0.0000 -5.3152 15.2026
ATOMIC_POSITIONS crystal
Cs 0.7639 0.6796 0.1492
Cs 0.2361 0.3204 0.8508
Cs 0.2639 0.3204 0.3508
Cs 0.7361 0.6796 0.6492
Tc 0.2068 0.9688 0.5219
Tc 0.7932 0.0312 0.4781
Tc 0.7068 0.0312 0.9781
Tc 0.2932 0.9688 0.0219
S 0.0556 0.7881 0.3716
S 0.9444 0.2119 0.6284
S 0.5556 0.2119 0.1284
S 0.4444 0.7881 0.8716
S 0.5570 0.7811 0.4411
S 0.4430 0.2189 0.5589
S 0.0570 0.2189 0.0589
S 0.9430 0.7811 0.9411
S 0.2286 0.8238 0.6052
S 0.7714 0.1762 0.3948
S 0.7286 0.1762 0.8948
S 0.2714 0.8238 0.1052
! E_tot	-5.412	eV/atom
! E_form (uncorrected)	-0.691	eV/atom
! energy above the lowest structure with this stoichiometry	0.000	eV per atom
! crystal system	monoclinic
! space-group type	P2_1/c, No. 14